Entry 1:
# K6Na2PbO

Crystalline K6Na2PbO at its relaxed geometry (PBE, Alexandria via LeMat-Bulk).

Geometry as POSCAR:
```
K6Na2PbO
1.0
-4.164 7.675 -0.685
-6.298 -2.956 5.320
8.381 -0.229 2.577
O Na K Pb
1 2 6 1
direct
0.000 0.000 0.999
0.752 0.250 0.501
0.249 0.752 0.501
0.785 0.216 0.000
0.215 0.785 0.000
0.215 0.215 0.429
0.785 0.785 0.000
0.215 0.216 0.001
0.784 0.785 0.569
0.499 0.500 0.998
```

Computed properties:
E_form (uncorrected) in eV/atom: -0.2743
ρ in g cm⁻³: 1.759
V in Å³ per cell: 475.5
SG: Cm (8)

***

Entry 2:
# CdReH2Cl

Crystalline CdReH2Cl at its relaxed geometry (PBE, Alexandria via LeMat-Bulk).

Geometry as POSCAR:
```
CdReH2Cl
1.0
3.745 0.000 0.000
0.000 7.193 0.000
0.000 0.000 3.745
Re H Cl Cd
1 2 1 1
direct
0.500 0.500 0.500
0.000 0.000 0.500
0.500 0.000 0.000
0.000 0.000 0.000
0.000 0.500 0.000
```

Computed properties:
ρ in g cm⁻³: 5.531
V in Å³ per cell: 100.9
Calculated total energy in eV/atom: -2.893
SG: P4/mmm (123)

***

Entry 3:
# K2YRe

Crystalline K2YRe at its relaxed geometry (PBE, Alexandria via LeMat-Bulk).

Geometry as POSCAR:
```
K2YRe
1.0
-7.987 -1.801 0.368
-5.051 -1.428 -6.295
6.234 -1.276 5.166
K Y Re
2 1 1
direct
0.688 0.188 0.500
0.996 0.996 0.000
0.335 0.835 0.500
0.481 0.481 0.000
```

Computed properties:
Energy of formation in eV per atom: 1.086
ρ in g cm⁻³: 3.850
V in Å³ per cell: 152.4
Polymorph energy (0 for the lowest one) in eV per atom: 0.304
SG: Imm2 (44)

***

no.,total magnetic moment (μB/atom)
1,0.000
2,0.556
3,0.234